Entry 1:
Material: Ba13Si6Sn8As22
Method: DFT, PBEsol
State: optimized geometry

Cell lengths 12.229, 12.229, 12.229 Å; angles 107.75, 107.75, 112.98 degrees
Fractional coordinates of all 49 atoms:
Ba1 0.459 0.953 0.242
Ba2 0.711 0.217 0.758
Ba3 0.289 0.047 0.507
Ba4 0.541 0.783 0.493
Ba5 0.047 0.289 0.507
Ba6 0.783 0.541 0.493
Ba7 0.217 0.711 0.758
Ba8 0.953 0.459 0.242
Ba9 0.159 0.494 0.000
Ba10 0.494 0.159 0.000
Ba11 0.506 0.506 0.665
Ba12 0.841 0.841 0.335
Ba13 0.000 0.000 0.000
Si1 0.685 0.517 0.000
Si2 0.517 0.685 0.000
Si3 0.483 0.483 0.168
Si4 0.315 0.315 0.832
Si5 0.250 0.750 0.500
Si6 0.750 0.250 0.500
Sn1 0.060 0.786 0.179
Sn2 0.607 0.882 0.821
Sn3 0.393 0.214 0.274
Sn4 0.940 0.118 0.726
Sn5 0.214 0.393 0.274
Sn6 0.118 0.940 0.726
Sn7 0.882 0.607 0.821
Sn8 0.786 0.060 0.179
As1 0.251 0.740 0.303
As2 0.437 0.948 0.697
As3 0.563 0.260 0.511
As4 0.749 0.052 0.489
As5 0.260 0.563 0.511
As6 0.052 0.749 0.489
As7 0.948 0.437 0.697
As8 0.740 0.251 0.303
As9 0.312 0.500 0.812
As10 0.688 0.500 0.188
As11 0.500 0.312 0.812
As12 0.500 0.688 0.188
As13 0.879 0.519 0.000
As14 0.519 0.879 0.000
As15 0.481 0.481 0.360
As16 0.121 0.121 0.640
As17 0.146 0.808 0.000
As18 0.808 0.146 0.000
As19 0.192 0.192 0.337
As20 0.854 0.854 0.663
As21 0.279 0.279 0.000
As22 0.721 0.721 0.000

- Theoretical density: 5.4 g cm⁻³
- Raw total energy: -242.336 eV per cell
- Formation energy (no corrections): -684 meV per atom


Entry 2:
Material: Tb
Method: DFT, PBEsol
State: optimized geometry

Cell lengths 3.480, 3.480, 3.480 Å; angles 60.00, 60.00, 60.00 degrees
Fractional coordinates of all 1 atoms:
Tb1 0.500 0.500 0.500

- Theoretical density: 8.9 g cm⁻³
- Density of states at the Fermi level: 1.2 states/eV/cell
- ΔH_f (0 K): 11 meV per atom
- Raw total energy: -4.999 eV per cell


Entry 3:
Material: SnGe3Pb
Method: DFT, PBEsol
State: optimized geometry

Cell lengths 5.222, 5.222, 5.222 Å; angles 90.00, 90.00, 90.00 degrees
Fractional coordinates of all 5 atoms:
Pb1 0.500 0.500 0.500
Ge1 0.000 0.500 0.000
Ge2 0.000 0.000 0.500
Ge3 0.500 0.000 0.000
Sn1 0.000 0.000 0.000

- Theoretical density: 6.3 g cm⁻³
- Density of states at the Fermi level: 3.3 states/eV/cell
- ΔH_f (0 K): 767 meV per atom
- Raw total energy: -19.239 eV per cell


Entry 4:
Material: SrZn2W
Method: DFT, PBEsol
State: optimized geometry

Cell lengths 2.895, 2.895, 8.596 Å; angles 90.00, 90.00, 90.00 degrees
Fractional coordinates of all 4 atoms:
Sr1 0.500 0.500 0.000
W1 0.500 0.500 0.500
Zn1 0.000 0.000 0.715
Zn2 0.000 0.000 0.285

- Theoretical density: 9.3 g cm⁻³
- Density of states at the Fermi level: 2.9 states/eV/cell
- ΔH_f (0 K): 435 meV per atom
- Raw total energy: -17.073 eV per cell


Entry 5:
Material: LaY2Pb2
Method: DFT, PBEsol
State: optimized geometry

Cell lengths 5.795, 6.413, 5.795 Å; angles 116.86, 90.00, 116.86 degrees
Last column: magnetic moment on the atom in μB.
Fractional coordinates of all 5 atoms:
Pb1 0.250 0.500 0.750  0.00
Pb2 0.750 0.500 0.250  0.00
Y1 0.329 0.658 0.329  0.12
Y2 0.671 0.342 0.671  0.12
La1 0.000 0.000 0.000  0.06

- Theoretical density: 7.3 g cm⁻³
- Density of states at the Fermi level: 5.8 states/eV/cell
- ΔH_f (0 K): -142 meV per atom
- Raw total energy: -27.699 eV per cell


Entry 6:
Material: TiMnNiPd2
Method: DFT, PBEsol
State: optimized geometry

Cell lengths 4.060, 4.612, 4.612 Å; angles 90.00, 90.00, 90.00 degrees
Last column: magnetic moment on the atom in μB.
Fractional coordinates of all 5 atoms:
Ni1 0.000 0.000 0.000  0.04
Mn1 0.500 0.500 0.500  4.18
Pd1 0.000 0.000 0.500  0.02
Pd2 0.000 0.500 0.000  0.02
Ti1 0.500 0.000 0.000  -0.30

- Theoretical density: 7.2 g cm⁻³
- Density of states at the Fermi level: 5.6 states/eV/cell
- ΔH_f (0 K): 650 meV per atom
- Raw total energy: -32.910 eV per cell